## Rb2VI8 (PBE)

Data for an optimized crystal structure of Rb2VI8.

For the formation energy (no corrections), the calculation gives -0.622 eV per atom. The total magnetization comes out at 0.26 μB/f.u. Its calculated volume is 616.2 Å³/cell.

Cell: 6.3947 10.0650 10.0650 Å, 79.75 78.67 78.67°
Each line ends with the local moment (μB).
Fractional coordinates of all 11 atoms:
V1 0.0000 0.0000 0.0000  1.29
I1 0.7781 0.7908 0.0903  -0.17
I2 0.7458 0.5022 0.5022  0.00
I3 0.3052 0.8346 0.8346  -0.04
I4 0.2542 0.4978 0.4978  0.00
I5 0.7781 0.0903 0.7908  -0.17
I6 0.6948 0.1654 0.1654  -0.04
I7 0.2219 0.2092 0.9097  -0.17
I8 0.2219 0.9097 0.2092  -0.17
Rb1 0.8760 0.7236 0.7236  0.00
Rb2 0.1240 0.2764 0.2764  0.00

## RbVI3 (PBE)

Data for an optimized crystal structure of RbVI3.

For the formation energy (no corrections), the calculation gives -0.737 eV per atom. The total magnetization comes out at 3.00 μB/f.u. Its calculated volume is 190.0 Å³/cell.

Cell: 5.7493 5.7493 5.7493 Å, 90.00 90.00 90.00°
Each line ends with the local moment (μB).
Fractional coordinates of all 5 atoms:
I1 0.5000 0.0000 0.0000  -0.01
I2 0.0000 0.0000 0.5000  -0.01
I3 0.0000 0.5000 0.0000  -0.01
V1 0.0000 0.0000 0.0000  2.60
Rb1 0.5000 0.5000 0.5000  0.00

Among the records above, which one has the lowest formation energy (no corrections)?
RbVI3

Among the records above, which one has the lowest formation energy (no corrections)?
RbVI3

formation energy (no corrections) of number 2 (RbVI3)?
-0.737 eV per atom